[1]
An optimized crystal structure of ScInTcSn, computed with PBE.

```
data_ScInTcSn
_chemical_formula_sum 'Sc4 In4 Tc4 Sn4'
_cell_length_a 6.742
_cell_length_b 6.742
_cell_length_c 6.742
_cell_angle_alpha 90.00
_cell_angle_beta 90.00
_cell_angle_gamma 90.00
_space_group_name_H-M_alt 'F -4 3 m'
_space_group_IT_number 216
_space_group_name_Hall 'F -4 2 3'
loop_
_atom_site_label
_atom_site_type_symbol
_atom_site_fract_x
_atom_site_fract_y
_atom_site_fract_z
_atom_site_occupancy
Sc1 Sc 0.000 0.000 0.000 1
In1 In 0.250 0.250 0.250 1
Tc1 Tc 0.000 0.000 0.500 1
Sn1 Sn 0.250 0.250 0.750 1
```

- Fermi-level density of states: 13.21 states/eV/cell
- ΔE_f: -0.55 eV/f.u.

---

[2]
An optimized crystal structure of SrBeTc2, computed with PBE.

```
data_SrBeTc2
_chemical_formula_sum 'Sr1 Be1 Tc2'
_cell_length_a 3.817
_cell_length_b 4.152
_cell_length_c 5.568
_cell_angle_alpha 90.00
_cell_angle_beta 106.24
_cell_angle_gamma 90.00
_space_group_name_H-M_alt 'P 1 2/m 1'
_space_group_IT_number 10
loop_
_space_group_symop_operation_xyz
'x,y,z'
'-x,-y,-z'
'-x,y,-z'
'x,-y,z'
loop_
_atom_site_label
_atom_site_type_symbol
_atom_site_fract_x
_atom_site_fract_y
_atom_site_fract_z
_atom_site_occupancy
Sr1 Sr 0.000 0.000 0.000 1
Be1 Be 0.500 0.000 0.500 1
Tc1 Tc 0.302 0.500 0.627 1
```

- Fermi-level density of states: 3.31 states/eV/cell
- ΔE_f: 2.34 eV/f.u.

---

[3]
An optimized crystal structure of CuAg2Pd, computed with PBE.

```
data_CuAg2Pd
_chemical_formula_sum 'Cu2 Ag4 Pd2'
_cell_length_a 3.850
_cell_length_b 4.098
_cell_length_c 8.057
_cell_angle_alpha 90.00
_cell_angle_beta 90.29
_cell_angle_gamma 90.00
_space_group_name_H-M_alt 'P 1 21/m 1'
_space_group_IT_number 11
loop_
_space_group_symop_operation_xyz
'x,y,z'
'-x,-y,-z'
'-x,y+1/2,-z'
'x,-y+1/2,z'
loop_
_atom_site_label
_atom_site_type_symbol
_atom_site_fract_x
_atom_site_fract_y
_atom_site_fract_z
_atom_site_occupancy
Cu1 Cu 0.000 0.250 0.111 1
Ag1 Ag 0.000 0.250 0.635 1
Ag2 Ag 0.500 0.250 0.361 1
Pd1 Pd 0.500 0.250 0.887 1
```

- Fermi-level density of states: 1.96 states/eV/cell
- ΔE_f: -0.05 eV/f.u.

---

[4]
An optimized crystal structure of CdSb4P, computed with PBE.

```
data_CdSb4P
_chemical_formula_sum 'Cd4 Sb16 P4'
_cell_length_a 8.729
_cell_length_b 8.729
_cell_length_c 8.729
_cell_angle_alpha 90.00
_cell_angle_beta 90.00
_cell_angle_gamma 90.00
_space_group_name_H-M_alt 'F -4 3 m'
_space_group_IT_number 216
_space_group_name_Hall 'F -4 2 3'
loop_
_atom_site_label
_atom_site_type_symbol
_atom_site_fract_x
_atom_site_fract_y
_atom_site_fract_z
_atom_site_occupancy
Cd1 Cd 0.000 0.000 0.000 1
Sb1 Sb 0.124 0.124 0.376 1
P1 P 0.250 0.250 0.750 1
```

- Fermi-level density of states: 22.87 states/eV/cell
- Uncorrected formation energy: 609 meV/atom

---

[5]
An optimized crystal structure of Hg2RhAu, computed with PBE.

```
data_Hg2RhAu
_chemical_formula_sum 'Hg8 Rh4 Au4'
_cell_length_a 4.106
_cell_length_b 4.106
_cell_length_c 19.516
_cell_angle_alpha 90.00
_cell_angle_beta 90.00
_cell_angle_gamma 90.00
_space_group_name_H-M_alt 'I -4 2 d'
_space_group_IT_number 122
_space_group_name_Hall 'I -4 2bw'
loop_
_atom_site_label
_atom_site_type_symbol
_atom_site_fract_x
_atom_site_fract_y
_atom_site_fract_z
_atom_site_occupancy
Hg1 Hg 0.242 0.250 0.125 1
Rh1 Rh 0.000 0.000 0.000 1
Au1 Au 0.000 0.000 0.500 1
```

- Fermi-level density of states: 11.41 states/eV/cell
- ΔE_f: 1.29 eV/f.u.

---

[6]
An optimized crystal structure of KBa12Au6, computed with PBE.

```
data_KBa12Au6
_chemical_formula_sum 'K3 Ba36 Au18'
_cell_length_a 15.9050
_cell_length_b 15.9050
_cell_length_c 12.2309
_cell_angle_alpha 90.00
_cell_angle_beta 90.00
_cell_angle_gamma 120.00
_space_group_name_H-M_alt 'R -3 m'
_space_group_IT_number 166
_space_group_name_Hall '-R 3 2"'
loop_
_atom_site_label
_atom_site_type_symbol
_atom_site_fract_x
_atom_site_fract_y
_atom_site_fract_z
_atom_site_occupancy
K1 K 0.0000 0.0000 0.0000 1
Ba1 Ba 0.0000 0.3722 0.5000 1
Ba2 Ba 0.0879 0.1758 0.3617 1
Au1 Au 0.0487 0.5243 0.2760 1
```

- Fermi-level density of states: 51.15 states/eV/cell
- ΔE_f: -7.88 eV/f.u.

---

[7]
An optimized crystal structure of ZrZn3B, computed with PBE.

```
data_ZrZn3B
_chemical_formula_sum 'Zr1 Zn3 B1'
_cell_length_a 4.210
_cell_length_b 4.210
_cell_length_c 4.210
_cell_angle_alpha 90.00
_cell_angle_beta 90.00
_cell_angle_gamma 90.00
_space_group_name_H-M_alt 'P m -3 m'
_space_group_IT_number 221
_space_group_name_Hall '-P 4 2 3'
loop_
_atom_site_label
_atom_site_type_symbol
_atom_site_fract_x
_atom_site_fract_y
_atom_site_fract_z
_atom_site_occupancy
Zr1 Zr 0.000 0.000 0.000 1
Zn1 Zn 0.000 0.500 0.500 1
B1 B 0.500 0.500 0.500 1
```

- Fermi-level density of states: 2.04 states/eV/cell
- ΔE_f: 1.53 eV/f.u.

---

[8]
An optimized crystal structure of La2ErPaSb4, computed with PBE.

```
data_La2ErPaSb4
_chemical_formula_sum 'La2 Er1 Pa1 Sb4'
_cell_length_a 7.740
_cell_length_b 4.483
_cell_length_c 7.813
_cell_angle_alpha 90.00
_cell_angle_beta 109.35
_cell_angle_gamma 90.00
_space_group_name_H-M_alt 'P 1 2/m 1'
_space_group_IT_number 10
loop_
_space_group_symop_operation_xyz
'x,y,z'
'-x,-y,-z'
'-x,y,-z'
'x,-y,z'
loop_
_atom_site_label
_atom_site_type_symbol
_atom_site_fract_x
_atom_site_fract_y
_atom_site_fract_z
_atom_site_occupancy
La1 La 0.000 0.000 0.000 1
La2 La 0.500 0.500 0.000 1
Er1 Er 0.000 0.500 0.500 1
Pa1 Pa 0.500 0.000 0.500 1
Sb1 Sb 0.245 0.000 0.733 1
Sb2 Sb 0.255 0.500 0.266 1
```

- Fermi-level density of states: 6.76 states/eV/cell
- Uncorrected formation energy: -1019 meV/atom

---

[9]
An optimized crystal structure of Mg2TaTiAl, computed with PBE.

```
data_Mg2TaTiAl
_chemical_formula_sum 'Mg2 Ta1 Ti1 Al1'
_cell_length_a 4.743
_cell_length_b 4.743
_cell_length_c 4.959
_cell_angle_alpha 90.00
_cell_angle_beta 90.00
_cell_angle_gamma 90.00
_space_group_name_H-M_alt 'P 4/m m m'
_space_group_IT_number 123
_space_group_name_Hall '-P 4 2'
loop_
_atom_site_label
_atom_site_type_symbol
_atom_site_fract_x
_atom_site_fract_y
_atom_site_fract_z
_atom_site_occupancy
Mg1 Mg 0.000 0.500 0.000 1
Ta1 Ta 0.000 0.000 0.500 1
Ti1 Ti 0.500 0.500 0.500 1
Al1 Al 0.000 0.000 0.000 1
```

- Fermi-level density of states: 4.91 states/eV/cell
- ΔE_f: 5.02 eV/f.u.

---

[10]
An optimized crystal structure of AcIn2HgPd2, computed with PBE.

```
data_AcIn2HgPd2
_chemical_formula_sum 'Ac2 In4 Hg2 Pd4'
_cell_length_a 5.313
_cell_length_b 5.313
_cell_length_c 11.500
_cell_angle_alpha 90.00
_cell_angle_beta 90.00
_cell_angle_gamma 90.00
_space_group_name_H-M_alt 'I 4/m m m'
_space_group_IT_number 139
_space_group_name_Hall '-I 4 2'
loop_
_atom_site_label
_atom_site_type_symbol
_atom_site_fract_x
_atom_site_fract_y
_atom_site_fract_z
_atom_site_occupancy
Ac1 Ac 0.000 0.000 0.000 1
In1 In 0.000 0.500 0.250 1
Hg1 Hg 0.000 0.000 0.500 1
Pd1 Pd 0.000 0.000 0.263 1
```

- Fermi-level density of states: 9.17 states/eV/cell
- ΔE_f: -2.29 eV/f.u.

---

[11]
An optimized crystal structure of InSn4Te6, computed with PBE.

```
data_InSn4Te6
_chemical_formula_sum 'In2 Sn8 Te12'
_cell_length_a 8.511
_cell_length_b 8.571
_cell_length_c 13.517
_cell_angle_alpha 77.35
_cell_angle_beta 72.88
_cell_angle_gamma 64.72
_space_group_name_H-M_alt 'P 1'
_space_group_IT_number 1
loop_
_space_group_symop_operation_xyz
'x,y,z'
loop_
_atom_site_label
_atom_site_type_symbol
_atom_site_fract_x
_atom_site_fract_y
_atom_site_fract_z
_atom_site_occupancy
In1 In 0.000 0.000 0.000 1
In2 In 0.405 0.548 0.530 1
Sn1 Sn 0.136 0.588 0.250 1
Sn2 Sn 0.432 0.073 0.447 1
Sn3 Sn 0.464 0.572 0.937 1
Sn4 Sn 0.497 0.090 0.731 1
Sn5 Sn 0.592 0.952 0.112 1
Sn6 Sn 0.812 0.357 0.246 1
Sn7 Sn 0.895 0.453 0.576 1
Sn8 Sn 0.987 0.791 0.787 1
Te1 Te 0.084 0.684 0.464 1
Te2 Te 0.204 0.099 0.647 1
Te3 Te 0.232 0.199 0.295 1
Te4 Te 0.336 0.490 0.748 1
Te5 Te 0.338 0.007 0.950 1
Te6 Te 0.497 0.591 0.160 1
Te7 Te 0.642 0.716 0.419 1
Te8 Te 0.671 0.221 0.464 1
Te9 Te 0.700 0.182 0.911 1
Te10 Te 0.734 0.661 0.755 1
Te11 Te 0.857 0.011 0.216 1
Te12 Te 0.980 0.666 0.011 1
```

- Uncorrected formation energy: -188 meV/atom

---

[12]
An optimized crystal structure of Fe4Ir3Rh2, computed with PBE.

```
data_Fe4Ir3Rh2
_chemical_formula_sum 'Fe8 Ir6 Rh4'
_cell_length_a 8.321
_cell_length_b 3.776
_cell_length_c 7.962
_cell_angle_alpha 90.00
_cell_angle_beta 106.77
_cell_angle_gamma 90.00
_space_group_name_H-M_alt 'C 1 2/m 1'
_space_group_IT_number 12
loop_
_space_group_symop_operation_xyz
'x,y,z'
'-x,-y,-z'
'-x,y,-z'
'x,-y,z'
'x+1/2,y+1/2,z'
'-x+1/2,-y+1/2,-z'
'-x+1/2,y+1/2,-z'
'x+1/2,-y+1/2,z'
loop_
_atom_site_label
_atom_site_type_symbol
_atom_site_fract_x
_atom_site_fract_y
_atom_site_fract_z
_atom_site_occupancy
Fe1 Fe 0.002 0.000 0.334 1
Fe2 Fe 0.167 0.500 0.892 1
Ir1 Ir 0.000 0.000 0.000 1
Ir2 Ir 0.163 0.500 0.558 1
Rh1 Rh 0.167 0.500 0.220 1
```

- Fermi-level density of states: 22.88 states/eV/cell
- ΔE_f: -0.22 eV/f.u.

---

[13]
An optimized crystal structure of Ac3InTe3, computed with PBE.

```
data_Ac3InTe3
_chemical_formula_sum 'Ac3 In1 Te3'
_cell_length_a 6.710
_cell_length_b 6.710
_cell_length_c 6.710
_cell_angle_alpha 90.00
_cell_angle_beta 90.00
_cell_angle_gamma 90.00
_space_group_name_H-M_alt 'P m -3 m'
_space_group_IT_number 221
_space_group_name_Hall '-P 4 2 3'
loop_
_atom_site_label
_atom_site_type_symbol
_atom_site_fract_x
_atom_site_fract_y
_atom_site_fract_z
_atom_site_occupancy
Ac1 Ac 0.000 0.000 0.500 1
In1 In 0.000 0.000 0.000 1
Te1 Te 0.000 0.500 0.500 1
```

- Fermi-level density of states: 7.94 states/eV/cell
- Uncorrected formation energy: -1002 meV/atom

---

[14]
An optimized crystal structure of CaYTa2, computed with PBE.

```
data_CaYTa2
_chemical_formula_sum 'Ca1 Y1 Ta2'
_cell_length_a 3.579
_cell_length_b 3.579
_cell_length_c 8.316
_cell_angle_alpha 90.00
_cell_angle_beta 90.00
_cell_angle_gamma 90.00
_space_group_name_H-M_alt 'P 4 m m'
_space_group_IT_number 99
loop_
_space_group_symop_operation_xyz
'x,y,z'
'-y,x,z'
'-x,-y,z'
'y,-x,z'
'-x,y,z'
'y,x,z'
'x,-y,z'
'-y,-x,z'
loop_
_atom_site_label
_atom_site_type_symbol
_atom_site_fract_x
_atom_site_fract_y
_atom_site_fract_z
_atom_site_occupancy
Ca1 Ca 0.000 0.000 0.000 1
Y1 Y 0.500 0.500 0.640 1
Ta1 Ta 0.000 0.000 0.399 1
Ta2 Ta 0.500 0.500 0.266 1
```

- Fermi-level density of states: 4.68 states/eV/cell
- ΔE_f: 1.11 eV/f.u.

---

[15]
An optimized crystal structure of Sr2GaAu, computed with PBE.

```
data_Sr2GaAu
_chemical_formula_sum 'Sr8 Ga4 Au4'
_cell_length_a 8.478
_cell_length_b 8.478
_cell_length_c 7.680
_cell_angle_alpha 90.00
_cell_angle_beta 90.00
_cell_angle_gamma 90.00
_space_group_name_H-M_alt 'I -4 2 d'
_space_group_IT_number 122
_space_group_name_Hall 'I -4 2bw'
loop_
_atom_site_label
_atom_site_type_symbol
_atom_site_fract_x
_atom_site_fract_y
_atom_site_fract_z
_atom_site_occupancy
Sr1 Sr 0.235 0.250 0.125 1
Ga1 Ga 0.000 0.000 0.500 1
Au1 Au 0.000 0.000 0.000 1
```

- Fermi-level density of states: 3.16 states/eV/cell
- ΔE_f: -0.99 eV/f.u.

---

[16]
An optimized crystal structure of Zr3Mn, computed with PBE.

```
data_Zr3Mn
_chemical_formula_sum 'Zr12 Mn4'
_cell_length_a 5.622
_cell_length_b 5.648
_cell_length_c 9.887
_cell_angle_alpha 90.00
_cell_angle_beta 90.00
_cell_angle_gamma 90.00
_space_group_name_H-M_alt 'F m m m'
_space_group_IT_number 69
_space_group_name_Hall '-F 2 2'
loop_
_atom_site_label
_atom_site_type_symbol
_atom_site_fract_x
_atom_site_fract_y
_atom_site_fract_z
_atom_site_occupancy
Zr1 Zr 0.000 0.000 0.000 1
Zr2 Zr 0.250 0.250 0.250 1
Mn1 Mn 0.000 0.000 0.500 1
```

- Fermi-level density of states: 32.80 states/eV/cell
- ΔE_f: 1.13 eV/f.u.

---

[17]
An optimized crystal structure of Sm3PuTe6, computed with PBE.

```
data_Sm3PuTe6
_chemical_formula_sum 'Sm6 Pu2 Te12'
_cell_length_a 12.643
_cell_length_b 4.426
_cell_length_c 12.969
_cell_angle_alpha 90.00
_cell_angle_beta 109.23
_cell_angle_gamma 90.00
_space_group_name_H-M_alt 'P 1 21/m 1'
_space_group_IT_number 11
loop_
_space_group_symop_operation_xyz
'x,y,z'
'-x,-y,-z'
'-x,y+1/2,-z'
'x,-y+1/2,z'
loop_
_atom_site_label
_atom_site_type_symbol
_atom_site_fract_x
_atom_site_fract_y
_atom_site_fract_z
_atom_site_occupancy
Sm1 Sm 0.072 0.250 0.166 1
Sm2 Sm 0.181 0.750 0.502 1
Sm3 Sm 0.346 0.250 0.923 1
Pu1 Pu 0.457 0.250 0.309 1
Te1 Te 0.015 0.250 0.380 1
Te2 Te 0.105 0.250 0.935 1
Te3 Te 0.252 0.750 0.281 1
Te4 Te 0.308 0.750 0.750 1
Te5 Te 0.387 0.250 0.536 1
Te6 Te 0.416 0.750 0.105 1
```

- Fermi-level density of states: 27.21 states/eV/cell
- Uncorrected formation energy: -1289 meV/atom

---

[18]
An optimized crystal structure of BC3, computed with PBE.

```
data_BC3
_chemical_formula_sum 'B4 C12'
_cell_length_a 8.776
_cell_length_b 2.515
_cell_length_c 4.538
_cell_angle_alpha 90.00
_cell_angle_beta 99.13
_cell_angle_gamma 90.00
_space_group_name_H-M_alt 'C 1 2/m 1'
_space_group_IT_number 12
loop_
_space_group_symop_operation_xyz
'x,y,z'
'-x,-y,-z'
'-x,y,-z'
'x,-y,z'
'x+1/2,y+1/2,z'
'-x+1/2,-y+1/2,-z'
'-x+1/2,y+1/2,-z'
'x+1/2,-y+1/2,z'
loop_
_atom_site_label
_atom_site_type_symbol
_atom_site_fract_x
_atom_site_fract_y
_atom_site_fract_z
_atom_site_occupancy
B1 B 0.204 0.000 0.378 1
C1 C 0.022 0.000 0.336 1
C2 C 0.037 0.500 0.846 1
C3 C 0.217 0.500 0.919 1
```

- Fermi-level density of states: 3.42 states/eV/cell
- ΔE_f: 1.26 eV/f.u.

---

[19]
An optimized crystal structure of GeB, computed with PBE.

```
data_GeB
_chemical_formula_sum 'Ge6 B6'
_cell_length_a 3.143
_cell_length_b 9.884
_cell_length_c 5.095
_cell_angle_alpha 90.00
_cell_angle_beta 90.00
_cell_angle_gamma 90.00
_space_group_name_H-M_alt 'P m m n'
_space_group_IT_number 59
loop_
_space_group_symop_operation_xyz
'x,y,z'
'-x,-y,-z'
'-x+1/2,-y+1/2,z'
'x+1/2,y+1/2,-z'
'x+1/2,-y,-z'
'-x+1/2,y,z'
'-x,y+1/2,-z'
'x,-y+1/2,z'
loop_
_atom_site_label
_atom_site_type_symbol
_atom_site_fract_x
_atom_site_fract_y
_atom_site_fract_z
_atom_site_occupancy
Ge1 Ge 0.250 0.072 0.161 1
Ge2 Ge 0.250 0.750 0.308 1
B1 B 0.250 0.250 0.972 1
B2 B 0.250 0.549 0.494 1
```

- Fermi-level density of states: 2.86 states/eV/cell
- ΔE_f: 0.97 eV/f.u.

---

[20]
An optimized crystal structure of Rb3RhAu, computed with PBE.

```
data_Rb3RhAu
_chemical_formula_sum 'Rb3 Rh1 Au1'
_cell_length_a 6.086
_cell_length_b 6.086
_cell_length_c 6.086
_cell_angle_alpha 90.00
_cell_angle_beta 90.00
_cell_angle_gamma 90.00
_space_group_name_H-M_alt 'P m -3 m'
_space_group_IT_number 221
_space_group_name_Hall '-P 4 2 3'
loop_
_atom_site_label
_atom_site_type_symbol
_atom_site_fract_x
_atom_site_fract_y
_atom_site_fract_z
_atom_site_occupancy
Rb1 Rb 0.000 0.000 0.500 1
Rh1 Rh 0.000 0.000 0.000 1
Au1 Au 0.500 0.500 0.500 1
```

- Fermi-level density of states: 4.25 states/eV/cell
- ΔE_f: 2.19 eV/f.u.

---

E_tot for every record listed, in sequence, given in Ry/atom: -0.44073, -0.43725, -0.27645, -0.23469, -0.18262, -0.20003, -0.25755, -0.44609, -0.31832, -0.27645, -0.26502, -0.61540, -0.33080, -0.57074, -0.19575, -0.61887, -0.44267, -0.60809, -0.37938, -0.16677.